# TaBeB3 (PBE-GGA, optimized geometry)
data_TaBeB3
_symmetry_space_group_name_H-M 'C m c m'
_symmetry_Int_Tables_number 63
_symmetry_space_group_name_Hall '-C 2c 2'
_cell_length_a 3.250
_cell_length_b 17.426
_cell_length_c 3.059
_cell_angle_alpha 90.00
_cell_angle_beta 90.00
_cell_angle_gamma 90.00
loop_
_atom_site_label
_atom_site_type_symbol
_atom_site_fract_x
_atom_site_fract_y
_atom_site_fract_z
Ta1 Ta 0.000 0.076 0.250
Be1 Be 0.000 0.208 0.750
B1 B 0.000 0.319 0.750
B2 B 0.000 0.368 0.250
B3 B 0.000 0.474 0.250
# * energy of formation from the pure elements: -0.391 eV/atom
# * offset from the most stable computed form: 0.00 eV/f.u.
# * D(E_F): 0.13 states/eV/atom